1.
## Gd2AuI (GGA-PBE)

Data for a geometry-optimized Gd2AuI structure.

Unit cell a=4.2503 b=4.2503 c=23.7333 alpha=90.00 beta=90.00 gamma=120.00
Space group R-3m (No. 166, hexagonal axes)
Asymmetric unit:
Gd: 0.0000 0.0000 0.2334 (multiplicity 6)
Au: 0.0000 0.0000 0.5000 (multiplicity 3)
I: 0.0000 0.0000 0.0000 (multiplicity 3)

Properties
Energy above the lowest structure with this stoichiometry (meV/atom): 0.0
Energy relative to the elements, uncorrected (eV per atom): -0.842



2.
## NdAg3Hg (GGA-PBE)

Data for a geometry-optimized NdAg3Hg structure.

Unit cell a=4.675 b=28.661 c=3.467 alpha=90.00 beta=90.00 gamma=90.00
Space group Cmmm (No. 65)
Asymmetric unit:
Nd: 0.000 0.176 0.000 (multiplicity 4)
Ag: 0.000 0.056 0.500 (multiplicity 4)
Ag: 0.000 0.275 0.500 (multiplicity 4)
Ag: 0.000 0.454 0.000 (multiplicity 4)
Hg: 0.000 0.376 0.500 (multiplicity 4)

Properties
Energy relative to the elements (meV per atom): -76



3.
## Na2ZnCl4 (GGA-PBE)

Data for a geometry-optimized Na2ZnCl4 structure.

Unit cell a=13.901 b=8.173 c=6.479 alpha=90.00 beta=90.00 gamma=90.00
Space group Pnma (No. 62)
Asymmetric unit:
Na: 0.000 0.000 0.000 (multiplicity 4)
Na: 0.228 0.250 0.493 (multiplicity 4)
Zn: 0.093 0.750 0.412 (multiplicity 4)
Cl: 0.060 0.250 0.733 (multiplicity 4)
Cl: 0.093 0.750 0.762 (multiplicity 4)
Cl: 0.165 0.527 0.260 (multiplicity 8)

Properties
Energy above the lowest structure with this stoichiometry (meV/atom): 0.0
Energy relative to the elements, uncorrected (eV per atom): -1.547



4.
## Cd2Si3 (GGA-PBE)

Data for a geometry-optimized Cd2Si3 structure.

Unit cell a=10.386 b=27.317 c=2.692 alpha=90.00 beta=90.00 gamma=90.00
Space group Fdd2 (No. 43)
Asymmetric unit:
Cd: 0.009 0.198 0.000 (multiplicity 16)
Si: 0.000 0.000 0.233 (multiplicity 8)
Si: 0.000 0.096 0.258 (multiplicity 16)

Properties
Energy above the lowest structure with this stoichiometry (meV/atom): 73.2
Energy relative to the elements, uncorrected (eV per atom): 0.455



5.
## La2FeTc (GGA-PBE)

Data for a geometry-optimized La2FeTc structure.

Unit cell a=7.205 b=7.190 c=3.543 alpha=90.00 beta=95.21 gamma=90.00
Space group C2/m (No. 12)
Asymmetric unit:
La: 0.250 0.250 0.000 (multiplicity 4)
Fe: 0.000 0.000 0.500 (multiplicity 2)
Tc: 0.000 0.500 0.500 (multiplicity 2)

Properties
Energy above the lowest structure with this stoichiometry (meV/atom): 305.1
Energy relative to the elements (meV per atom): 368



6.
## OsCSN2 (GGA-PBE)

Data for a geometry-optimized OsCSN2 structure.

Unit cell a=3.713 b=3.713 c=5.211 alpha=90.00 beta=90.00 gamma=90.00
Space group P4/mmm (No. 123)
Asymmetric unit:
Os: 0.000 0.000 0.000 (multiplicity 1)
C: 0.500 0.500 0.500 (multiplicity 1)
S: 0.000 0.000 0.500 (multiplicity 1)
N: 0.000 0.500 0.000 (multiplicity 2)

Properties
Energy above the lowest structure with this stoichiometry (meV/atom): 0.0
Energy relative to the elements, uncorrected (eV per atom): 1.853



7.
## Sm3Y3Sc5 (GGA-PBE)

Data for a geometry-optimized Sm3Y3Sc5 structure.

Unit cell a=8.9902 b=8.9902 c=5.4973 alpha=90.00 beta=90.00 gamma=120.00
Space group P-62m (No. 189)
Asymmetric unit:
Sm: 0.0000 0.3828 0.0000 (multiplicity 3)
Y: 0.0000 0.6240 0.5000 (multiplicity 3)
Sc: 0.0000 0.7603 0.0000 (multiplicity 3)
Sc: 0.3333 0.6667 0.0000 (multiplicity 2)

Properties
Energy relative to the elements (meV per atom): 806



8.
## Mg5Bi2Au2 (GGA-PBE)

Data for a geometry-optimized Mg5Bi2Au2 structure.

Unit cell a=15.541 b=7.351 c=7.390 alpha=90.00 beta=90.00 gamma=90.00
Space group Cmce (No. 64)
Asymmetric unit:
Mg: 0.000 0.000 0.000 (multiplicity 4)
Mg: 0.117 0.161 0.340 (multiplicity 16)
Bi: 0.208 0.000 0.000 (multiplicity 8)
Au: 0.000 0.140 0.640 (multiplicity 8)

Properties
Energy relative to the elements (meV per atom): -359



9.
## CaVBi2 (GGA-PBE)

Data for a geometry-optimized CaVBi2 structure.

Unit cell a=7.486 b=7.486 c=7.486 alpha=90.00 beta=90.00 gamma=90.00
Space group Fm-3m (No. 225)
Asymmetric unit:
Ca: 0.000 0.000 0.000 (multiplicity 4)
V: 0.000 0.000 0.500 (multiplicity 4)
Bi: 0.250 0.250 0.250 (multiplicity 8)

Properties
Energy above the lowest structure with this stoichiometry (meV/atom): 0.0
Energy relative to the elements (meV per atom): -51



10.
## La3AlTl (GGA-PBE)

Data for a geometry-optimized La3AlTl structure.

Unit cell a=10.604 b=11.914 c=9.925 alpha=90.00 beta=90.00 gamma=90.00
Space group Cmce (No. 64)
Asymmetric unit:
La: 0.000 0.068 0.143 (multiplicity 8)
La: 0.181 0.126 0.575 (multiplicity 16)
Al: 0.250 0.148 0.250 (multiplicity 8)
Tl: 0.000 0.214 0.855 (multiplicity 8)

Properties
Energy above the lowest structure with this stoichiometry (meV/atom): 10.1
Energy relative to the elements (meV per atom): -254



11.
## KRb2TlPt (GGA-PBE)

Data for a geometry-optimized KRb2TlPt structure.

Unit cell a=6.622 b=6.622 c=5.373 alpha=90.00 beta=90.00 gamma=90.00
Space group P4/mmm (No. 123)
Asymmetric unit:
K: 0.000 0.000 0.000 (multiplicity 1)
Rb: 0.000 0.500 0.500 (multiplicity 2)
Tl: 0.500 0.500 0.000 (multiplicity 1)
Pt: 0.500 0.500 0.500 (multiplicity 1)

Properties
Energy above the lowest structure with this stoichiometry (meV/atom): 0.0
Energy relative to the elements (meV per atom): -41



12.
## CrCdMo2 (GGA-PBE)

Data for a geometry-optimized CrCdMo2 structure.

Unit cell a=3.253 b=3.253 c=6.169 alpha=90.00 beta=90.00 gamma=90.00
Space group P4/mmm (No. 123)
Asymmetric unit:
Cr: 0.000 0.000 0.000 (multiplicity 1)
Cd: 0.000 0.000 0.500 (multiplicity 1)
Mo: 0.500 0.500 0.198 (multiplicity 2)

Properties
Energy relative to the elements (meV per atom): 388



13.
## SrReSb (GGA-PBE)

Data for a geometry-optimized SrReSb structure.

Unit cell a=6.760 b=6.760 c=6.760 alpha=90.00 beta=90.00 gamma=90.00
Space group F-43m (No. 216)
Asymmetric unit:
Sr: 0.000 0.000 0.000 (multiplicity 4)
Re: 0.250 0.250 0.250 (multiplicity 4)
Sb: 0.000 0.000 0.500 (multiplicity 4)

Properties
Energy above the lowest structure with this stoichiometry (meV/atom): 458.8
Energy relative to the elements, uncorrected (eV per atom): 0.692



14.
## Dy2MgPa (GGA-PBE)

Data for a geometry-optimized Dy2MgPa structure.

Unit cell a=3.2330 b=3.2330 c=36.6187 alpha=90.00 beta=90.00 gamma=120.00
Space group R-3m (No. 166, hexagonal axes)
Asymmetric unit:
Dy: 0.0000 0.0000 0.0880 (multiplicity 6)
Mg: 0.0000 0.0000 0.5000 (multiplicity 3)
Pa: 0.0000 0.0000 0.0000 (multiplicity 3)

Properties
Energy above the lowest structure with this stoichiometry (meV/atom): 236.2
Energy relative to the elements (meV per atom): 288



15.
## PmNdDy2Te6 (GGA-PBE)

Data for a geometry-optimized PmNdDy2Te6 structure.

Unit cell a=7.8210 b=7.8210 c=21.2373 alpha=90.00 beta=90.00 gamma=120.00
Space group R3 (No. 146, hexagonal axes)
Asymmetric unit:
Pm: 0.0000 0.0000 0.0000 (multiplicity 3)
Nd: 0.0000 0.0000 0.4994 (multiplicity 3)
Dy: 0.0000 0.0000 0.1891 (multiplicity 3)
Dy: 0.0000 0.0000 0.6887 (multiplicity 3)
Te: 0.0293 0.6810 0.2646 (multiplicity 9)
Te: 0.0322 0.3489 0.7644 (multiplicity 9)

Properties
Energy relative to the elements, uncorrected (eV per atom): -1.371



16.
## Mn2VCr8 (GGA-PBE)

Data for a geometry-optimized Mn2VCr8 structure.

Unit cell a=5.443 b=5.443 c=5.030 alpha=90.00 beta=90.00 gamma=90.00
Space group P4/mmm (No. 123)
Asymmetric unit:
Mn: 0.000 0.500 0.000 (multiplicity 2)
V: 0.000 0.000 0.500 (multiplicity 1)
Cr: 0.272 0.272 0.267 (multiplicity 8)

Properties
Energy relative to the elements (meV per atom): 918



17.
## Ca3ErTl2 (GGA-PBE)

Data for a geometry-optimized Ca3ErTl2 structure.

Unit cell a=5.304 b=9.798 c=7.112 alpha=90.00 beta=90.00 gamma=90.00
Space group Pmc2_1 (No. 26)
Asymmetric unit:
Ca: 0.000 0.052 0.000 (multiplicity 2)
Ca: 0.000 0.317 0.359 (multiplicity 2)
Ca: 0.500 0.181 0.705 (multiplicity 2)
Er: 0.500 0.451 0.059 (multiplicity 2)
Tl: 0.000 0.366 0.815 (multiplicity 2)
Tl: 0.500 0.150 0.246 (multiplicity 2)

Properties
Energy relative to the elements (meV per atom): -313



18.
## BaEuGdSbO6 (GGA-PBE)

Data for a geometry-optimized BaEuGdSbO6 structure.

Unit cell a=8.418 b=8.495 c=8.565 alpha=90.00 beta=90.00 gamma=90.00
Space group Cccm (No. 66)
Asymmetric unit:
Ba: 0.000 0.000 0.250 (multiplicity 4)
Eu: 0.000 0.500 0.250 (multiplicity 4)
Gd: 0.250 0.250 0.000 (multiplicity 4)
Sb: 0.250 0.250 0.500 (multiplicity 4)
O: 0.015 0.211 0.500 (multiplicity 8)
O: 0.204 0.484 0.500 (multiplicity 8)
O: 0.250 0.250 0.264 (multiplicity 8)

Properties
Energy above the lowest structure with this stoichiometry (meV/atom): 0.0
Energy relative to the elements, uncorrected (eV per atom): -2.590



19.
## ReTeRh (GGA-PBE)

Data for a geometry-optimized ReTeRh structure.

Unit cell a=6.093 b=6.093 c=6.093 alpha=90.00 beta=90.00 gamma=90.00
Space group F-43m (No. 216)
Asymmetric unit:
Re: 0.000 0.000 0.000 (multiplicity 4)
Te: 0.250 0.250 0.750 (multiplicity 4)
Rh: 0.000 0.000 0.500 (multiplicity 4)

Properties
Energy above the lowest structure with this stoichiometry (meV/atom): 209.7
Energy relative to the elements, uncorrected (eV per atom): 0.579



20.
## NaCo2Ni2 (GGA-PBE)

Data for a geometry-optimized NaCo2Ni2 structure.

Unit cell a=7.261 b=7.261 c=2.462 alpha=90.00 beta=90.00 gamma=90.00
Space group P4/mbm (No. 127)
Asymmetric unit:
Na: 0.000 0.000 0.000 (multiplicity 2)
Co: 0.119 0.381 0.000 (multiplicity 4)
Ni: 0.171 0.671 0.500 (multiplicity 4)

Properties
Energy above the lowest structure with this stoichiometry (meV/atom): 0.0
Energy relative to the elements (meV per atom): 231



21.
## HoScGa3 (GGA-PBE)

Data for a geometry-optimized HoScGa3 structure.

Unit cell a=3.940 b=25.163 c=4.129 alpha=90.00 beta=90.00 gamma=90.00
Space group Cmcm (No. 63)
Asymmetric unit:
Ho: 0.000 0.075 0.250 (multiplicity 4)
Sc: 0.000 0.206 0.750 (multiplicity 4)
Ga: 0.000 0.319 0.750 (multiplicity 4)
Ga: 0.000 0.377 0.250 (multiplicity 4)
Ga: 0.000 0.475 0.250 (multiplicity 4)

Properties
Energy relative to the elements (meV per atom): -612



22.
## Tm4Cl (GGA-PBE)

Data for a geometry-optimized Tm4Cl structure.

Unit cell a=5.187 b=5.187 c=5.187 alpha=90.00 beta=90.00 gamma=90.00
Space group Pm-3m (No. 221)
Asymmetric unit:
Tm: 0.000 0.000 0.000 (multiplicity 1)
Tm: 0.000 0.500 0.500 (multiplicity 3)
Cl: 0.500 0.500 0.500 (multiplicity 1)

Properties
Energy relative to the elements, uncorrected (eV per atom): -0.385



23.
## LiP2AuO (GGA-PBE)

Data for a geometry-optimized LiP2AuO structure.

Unit cell a=4.921 b=4.921 c=4.086 alpha=90.00 beta=90.00 gamma=90.00
Space group P4/mmm (No. 123)
Asymmetric unit:
Li: 0.000 0.000 0.000 (multiplicity 1)
P: 0.000 0.500 0.500 (multiplicity 2)
Au: 0.500 0.500 0.500 (multiplicity 1)
O: 0.500 0.500 0.000 (multiplicity 1)

Properties
Energy above the lowest structure with this stoichiometry (meV/atom): 136.6
Energy relative to the elements, uncorrected (eV per atom): 0.640